[1]
DFT (GGA-PBE) results for a relaxed SrTbNi2As2 crystal.

Results
**Mass density**: 7.038 Mg/m³
**Volume**: 121.2 Å³ per cell
**Energy**: -32.42 eV per cell

Geometry as POSCAR:
```
SrTbNi2As2
1.0
4.091 0.000 0.000
-2.046 3.543 0.000
0.000 0.000 8.362
Sr Tb Ni As
1 1 2 2
Direct
0.000 0.000 0.000
0.000 0.000 0.500
0.333 0.667 0.729
0.667 0.333 0.271
0.333 0.667 0.269
0.667 0.333 0.731
```

=====

[2]
DFT (GGA-PBE) results for a relaxed TaNiAs crystal.

Results
**Mass density**: 12.190 Mg/m³
**Volume**: 171.4 Å³ per cell
**Energy**: -93.35 eV per cell

Geometry as POSCAR:
```
TaNiAs
1.0
6.316 0.000 0.000
0.000 3.703 0.000
0.000 0.000 7.328
Ta Ni As
4 4 4
Direct
0.017 0.250 0.162
0.483 0.750 0.662
0.517 0.250 0.338
0.983 0.750 0.838
0.162 0.250 0.575
0.338 0.750 0.075
0.662 0.250 0.925
0.838 0.750 0.425
0.210 0.750 0.379
0.290 0.250 0.879
0.710 0.750 0.121
0.790 0.250 0.621
```

=====

[3]
DFT (GGA-PBE) results for a relaxed TaNiAs crystal.

Results
**Mass density**: 11.641 Mg/m³
**Volume**: 179.5 Å³ per cell
**Energy**: -91.73 eV per cell

Geometry as POSCAR:
```
TaNiAs
1.0
5.426 0.000 0.000
0.000 3.587 0.000
0.000 0.000 9.221
Ta Ni As
4 4 4
Direct
0.145 0.250 0.126
0.355 0.750 0.626
0.645 0.250 0.374
0.855 0.750 0.874
0.130 0.250 0.453
0.370 0.750 0.953
0.630 0.250 0.047
0.870 0.750 0.547
0.210 0.250 0.825
0.290 0.750 0.325
0.710 0.250 0.675
0.790 0.750 0.175
```

=====

[4]
DFT (GGA-PBE) results for a relaxed TaNiAs crystal.

Results
**Mass density**: 12.116 Mg/m³
**Volume**: 129.3 Å³ per cell
**Energy**: -69.44 eV per cell

Geometry as POSCAR:
```
TaNiAs
1.0
6.170 0.000 0.000
-3.085 5.343 0.000
0.000 0.000 3.923
Ta Ni As
3 3 3
Direct
0.000 0.584 0.000
0.416 0.416 0.000
0.584 0.000 0.000
0.000 0.251 0.500
0.251 0.000 0.500
0.749 0.749 0.500
0.000 0.000 0.000
0.333 0.667 0.500
0.667 0.333 0.500
```

=====

[5]
DFT (GGA-PBE) results for a relaxed TaNiAs crystal.

Results
**Mass density**: 11.833 Mg/m³
**Volume**: 132.4 Å³ per cell
**Energy**: -68.20 eV per cell

Geometry as POSCAR:
```
TaNiAs
1.0
6.533 0.000 0.000
-3.266 5.657 0.000
0.000 0.000 3.583
Ta Ni As
3 3 3
Direct
0.000 0.623 0.000
0.377 0.377 0.000
0.623 0.000 0.000
0.000 0.000 0.000
0.333 0.667 0.500
0.667 0.333 0.500
0.000 0.292 0.500
0.292 0.000 0.500
0.708 0.708 0.500
```

=====

[6]
DFT (GGA-PBE) results for a relaxed TaTcNiAs crystal.

Results
**Mass density**: 11.599 Mg/m³
**E above lowest polymorph**: 0 meV per atom
**Volume**: 59.1 Å³ per cell
**Energy**: -32.35 eV per cell

Geometry as POSCAR:
```
TaTcNiAs
1.0
0.000 3.091 3.091
3.091 0.000 3.091
3.091 3.091 0.000
Ta Tc Ni As
1 1 1 1
Direct
0.000 0.000 0.000
0.250 0.250 0.250
0.750 0.750 0.750
0.500 0.500 0.500
```

=====

[7]
DFT (GGA-PBE) results for a relaxed TaNiAsW crystal.

Results
**Mass density**: 13.393 Mg/m³
**Volume**: 61.8 Å³ per cell
**Energy**: -33.32 eV per cell

Geometry as POSCAR:
```
TaNiAsW
1.0
0.000 3.138 3.138
3.138 0.000 3.138
3.138 3.138 0.000
Ta Ni As W
1 1 1 1
Direct
0.000 0.000 0.000
0.500 0.500 0.500
0.250 0.250 0.250
0.750 0.750 0.750
```

=====

[8]
DFT (GGA-PBE) results for a relaxed Tb2Ni12As7 crystal.

Results
**Mass density**: 8.824 Mg/m³
**Volume**: 291.0 Å³ per cell
**Energy**: -120.26 eV per cell

Geometry as POSCAR:
```
Tb2Ni12As7
1.0
9.356 0.000 0.000
-4.678 8.103 0.000
0.000 0.000 3.840
Tb Ni As
2 12 7
Direct
0.000 0.000 0.000
0.333 0.667 0.500
0.044 0.759 0.500
0.105 0.390 0.000
0.241 0.285 0.500
0.286 0.895 0.000
0.387 0.204 0.000
0.552 0.123 0.500
0.571 0.448 0.500
0.610 0.714 0.000
0.715 0.956 0.500
0.796 0.183 0.000
0.817 0.613 0.000
0.877 0.429 0.500
0.070 0.621 0.000
0.260 0.035 0.500
0.379 0.450 0.000
0.550 0.930 0.000
0.667 0.333 0.000
0.775 0.740 0.500
0.965 0.225 0.500
```

=====

- Which value of energy does entry 5 give?
  -68.20 eV per cell

=====

- Which formula does entry 4 have?
  TaNiAs

=====

- Look up the volume of the fifth one.
  132.4 Å³ per cell